Material: HoFe4F12
Method: DFT, GGA+U
State: relaxed

Cell lengths 6.902, 6.902, 6.902 Å; angles 107.85, 107.85, 112.77 degrees
Fractional positions:
1 Ho 0.000 0.000 0.000
2 Fe 0.000 0.000 0.500
3 Fe 0.000 0.500 0.000
4 Fe 0.500 0.000 0.000
5 Fe 0.500 0.500 0.500
6 F 0.047 0.820 0.227
7 F 0.180 0.407 0.227
8 F 0.180 0.953 0.773
9 F 0.294 0.294 0.588
10 F 0.294 0.706 0.000
11 F 0.407 0.180 0.227
12 F 0.593 0.820 0.773
13 F 0.706 0.294 0.000
14 F 0.706 0.706 0.412
15 F 0.820 0.047 0.227
16 F 0.820 0.593 0.773
17 F 0.953 0.180 0.773

Values from the calculation:
* magnetization: 1.000 μB per atom
* total DFT energy (no corrections): -5.6970 eV per atom